Entry 1:
20
Lattice="9.670 0.000 0.000 0.000 9.670 0.000 0.000 0.000 3.596" Properties=species:S:1:pos:R:3 comment="Er2AlGe2Ir5 PBE-GGA relaxed" total_energy_ev_per_atom=-7.346 total_magnetization_mub_per_fu=0.00 dos_ef_per_ev_atom=0.332 spacegroup="P4/mbm, No. 127" pbc="T T T"
Er 1.677 3.158 0.000
Er 3.158 7.994 0.000
Er 6.512 1.677 0.000
Er 7.994 6.512 0.000
Al 0.000 0.000 0.000
Al 4.835 4.835 0.000
Ge 1.224 6.059 0.000
Ge 3.612 1.224 0.000
Ge 6.059 8.447 0.000
Ge 8.447 3.612 0.000
Ir 0.000 4.835 1.798
Ir 0.625 7.702 1.798
Ir 1.968 0.625 1.798
Ir 2.867 5.460 1.798
Ir 4.210 2.867 1.798
Ir 4.835 0.000 1.798
Ir 5.460 6.804 1.798
Ir 6.804 4.210 1.798
Ir 7.702 9.045 1.798
Ir 9.045 1.968 1.798



Entry 2:
12
Lattice="5.953 -2.883 0.000 5.953 2.883 0.000 -5.810 0.000 11.151" Properties=species:S:1:pos:R:3 comment="CeHo4Er7 PBE-GGA relaxed" total_energy_ev_per_atom=-4.391 total_magnetization_mub_per_fu=0.95 dos_ef_per_ev_atom=1.982 spacegroup="C2/m, No. 12" pbc="T T T"
Ce 0.000 0.000 0.000
Ho -0.990 0.000 7.655
Ho 3.081 0.000 2.514
Ho 3.015 0.000 8.637
Ho 7.086 0.000 3.496
Er -1.202 0.000 3.668
Er -2.903 0.000 10.300
Er 1.454 0.000 5.536
Er 5.953 0.000 0.000
Er 4.642 0.000 5.615
Er 8.999 0.000 0.852
Er 7.298 0.000 7.483



Entry 3:
4
Lattice="3.453 0.000 0.000 0.000 3.453 0.000 0.000 0.000 8.726" Properties=species:S:1:pos:R:3 comment="KTcPb2 PBE-GGA relaxed" total_energy_ev_per_atom=-4.470 total_magnetization_mub_per_fu=0.00 dos_ef_per_ev_atom=0.593 spacegroup="P4/mmm, No. 123" pbc="T T T"
K 0.000 0.000 0.000
Tc 0.000 0.000 4.363
Pb 1.726 1.726 2.726
Pb 1.726 1.726 6.001



Entry 4:
5
Lattice="5.086 0.000 0.000 0.000 5.086 0.000 0.000 0.000 4.853" Properties=species:S:1:pos:R:3 comment="MoPtSeBr2 PBE-GGA relaxed" total_energy_ev_per_atom=-3.972 total_magnetization_mub_per_fu=0.63 dos_ef_per_ev_atom=1.373 spacegroup="P4/mmm, No. 123" pbc="T T T"
Mo 0.000 0.000 0.000
Pt 2.543 2.543 2.426
Se 0.000 0.000 2.426
Br 0.000 2.543 0.000
Br 2.543 0.000 0.000



Entry 5:
4
Lattice="0.000 3.268 3.268 3.268 0.000 3.268 3.268 3.268 0.000" Properties=species:S:1:pos:R:3 comment="ScRhAu2 PBE-GGA relaxed" total_energy_ev_per_atom=-5.570 total_magnetization_mub_per_fu=0.00 dos_ef_per_ev_atom=0.526 spacegroup="F-43m, No. 216" pbc="T T T"
Sc 0.000 0.000 0.000
Rh 4.901 4.901 4.901
Au 1.634 1.634 1.634
Au 3.268 3.268 3.268



Entry 6:
5
Lattice="3.531 0.000 0.000 0.000 3.531 0.000 0.000 0.000 4.870" Properties=species:S:1:pos:R:3 comment="CoAsH2Pd PBE-GGA relaxed" total_energy_ev_per_atom=-4.120 total_magnetization_mub_per_fu=1.77 dos_ef_per_ev_atom=1.045 spacegroup="P4/mmm, No. 123" pbc="T T T"
Co 0.000 0.000 0.000
As 0.000 0.000 2.435
H 0.000 1.765 2.435
H 1.765 0.000 2.435
Pd 1.765 1.765 0.000



Entry 7:
4
Lattice="4.566 -1.369 0.000 4.566 1.369 0.000 -0.809 0.000 4.681" Properties=species:S:1:pos:R:3 comment="Ir2RuPt PBE-GGA relaxed" total_energy_ev_per_atom=-8.242 total_magnetization_mub_per_fu=0.00 dos_ef_per_ev_atom=1.190 spacegroup="C2/m, No. 12" pbc="T T T"
Ir 2.050 0.000 1.138
Ir 6.273 0.000 3.543
Ru 4.566 0.000 0.000
Pt -0.404 0.000 2.340



Entry 8:
6
Lattice="-1.924 1.924 12.496 1.924 -1.924 12.496 1.924 1.924 -12.496" Properties=species:S:1:pos:R:3 comment="CaPaSb PBE-GGA relaxed" total_energy_ev_per_atom=-5.555 total_magnetization_mub_per_fu=0.00 dos_ef_per_ev_atom=1.454 spacegroup="I4/mmm, No. 139" pbc="T T T"
Ca 0.000 0.000 1.882
Ca 0.000 0.000 23.109
Pa 0.000 0.000 5.672
Pa 0.000 0.000 19.320
Sb 0.000 0.000 8.776
Sb 0.000 0.000 16.215



Entry 9:
5
Lattice="5.382 0.000 0.000 0.000 5.382 0.000 0.000 0.000 5.532" Properties=species:S:1:pos:R:3 comment="KRbHfCu2 PBE-GGA relaxed" total_energy_ev_per_atom=-2.358 total_magnetization_mub_per_fu=2.30 dos_ef_per_ev_atom=1.165 spacegroup="P4/mmm, No. 123" pbc="T T T"
K 0.000 0.000 0.000
Rb 0.000 0.000 2.766
Hf 2.691 2.691 2.766
Cu 0.000 2.691 0.000
Cu 2.691 0.000 0.000



Entry 10:
5
Lattice="4.829 0.000 0.000 0.000 4.829 0.000 0.000 0.000 4.829" Properties=species:S:1:pos:R:3 comment="GaAu4 PBE-GGA relaxed" total_energy_ev_per_atom=-2.738 total_magnetization_mub_per_fu=0.00 dos_ef_per_ev_atom=0.478 spacegroup="Pm-3m, No. 221" pbc="T T T"
Ga 0.000 0.000 0.000
Au 0.000 0.000 2.414
Au 0.000 2.414 0.000
Au 2.414 0.000 0.000
Au 2.414 2.414 2.414



Entry 11:
4
Lattice="0.000 3.531 3.531 3.531 0.000 3.531 3.531 3.531 0.000" Properties=species:S:1:pos:R:3 comment="GdYNiAu PBE-GGA relaxed" total_energy_ev_per_atom=-7.961 total_magnetization_mub_per_fu=7.14 dos_ef_per_ev_atom=0.765 spacegroup="F-43m, No. 216" pbc="T T T"
Gd 0.000 0.000 0.000
Y 3.531 3.531 3.531
Ni 5.296 5.296 5.296
Au 1.765 1.765 1.765



Entry 12:
5
Lattice="4.665 0.000 0.000 0.000 4.665 0.000 0.000 0.000 4.665" Properties=species:S:1:pos:R:3 comment="Hf3BeHg PBE-GGA relaxed" total_energy_ev_per_atom=-6.580 total_magnetization_mub_per_fu=0.00 dos_ef_per_ev_atom=0.366 spacegroup="Pm-3m, No. 221" pbc="T T T"
Hf 0.000 0.000 2.332
Hf 0.000 2.332 0.000
Hf 2.332 0.000 0.000
Be 0.000 0.000 0.000
Hg 2.332 2.332 2.332



Entry 13:
14
Lattice="5.998 0.000 0.000 -2.999 5.194 0.000 0.000 0.000 7.981" Properties=species:S:1:pos:R:3 comment="Rb3CuOs2O8 PBE-GGA relaxed" total_energy_ev_per_atom=-6.033 total_magnetization_mub_per_fu=4.00 spacegroup="P-3m1, No. 164" pbc="T T T"
Rb 0.000 0.000 0.000
Rb 0.000 3.463 5.274
Rb 2.999 1.731 2.707
Cu 0.000 0.000 3.990
Os 0.000 3.463 1.863
Os 2.999 1.731 6.118
O 0.000 1.773 2.600
O -1.464 4.308 2.600
O 0.000 3.463 0.077
O 1.535 0.886 5.381
O 1.464 4.308 2.600
O 2.999 1.731 7.904
O 4.463 0.886 5.381
O 2.999 3.421 5.381



Entry 14:
18
Lattice="6.323 0.000 0.000 0.000 6.101 0.000 -6.318 0.000 10.675" Properties=species:S:1:pos:R:3 comment="Li2ReCl6 PBE-GGA relaxed" total_energy_ev_per_atom=-4.178 total_magnetization_mub_per_fu=3.00 spacegroup="P2_1/c, No. 14" pbc="T T T"
Li 0.002 0.009 1.893
Li -3.157 3.041 7.231
Li 3.162 3.059 3.444
Li 0.003 6.092 8.782
Re 3.161 0.000 0.000
Re 0.003 3.050 5.337
Cl -4.179 1.341 8.989
Cl -1.021 1.710 3.652
Cl -1.947 4.400 5.342
Cl 1.212 4.751 0.005
Cl 2.140 1.351 1.678
Cl -1.019 1.699 7.016
Cl 1.024 4.401 3.659
Cl -2.135 4.749 8.997
Cl -1.207 1.349 10.670
Cl 1.952 1.701 5.333
Cl 1.026 4.391 7.023
Cl 4.185 4.760 1.686



Entry 15:
5
Lattice="4.183 0.000 0.000 0.000 4.183 0.000 0.000 0.000 4.183" Properties=species:S:1:pos:R:3 comment="TaCr3P PBE-GGA relaxed" total_energy_ev_per_atom=-8.851 total_magnetization_mub_per_fu=2.56 dos_ef_per_ev_atom=0.819 spacegroup="Pm-3m, No. 221" pbc="T T T"
Ta 0.000 0.000 0.000
Cr 0.000 2.092 2.092
Cr 2.092 0.000 2.092
Cr 2.092 2.092 0.000
P 2.092 2.092 2.092



Entry 16:
5
Lattice="4.723 0.000 0.000 0.000 4.723 0.000 0.000 0.000 4.417" Properties=species:S:1:pos:R:3 comment="MgTa2MnZn PBE-GGA relaxed" total_energy_ev_per_atom=-5.620 total_magnetization_mub_per_fu=0.24 dos_ef_per_ev_atom=1.295 spacegroup="P4/mmm, No. 123" pbc="T T T"
Mg 0.000 0.000 0.000
Ta 0.000 2.362 2.209
Ta 2.362 0.000 2.209
Mn 2.362 2.362 0.000
Zn 0.000 0.000 2.209



Entry 17:
5
Lattice="-1.963 1.963 7.175 1.963 -1.963 7.175 1.963 1.963 -7.175" Properties=species:S:1:pos:R:3 comment="Te2Pd2Au PBE-GGA relaxed" total_energy_ev_per_atom=-3.979 total_magnetization_mub_per_fu=0.00 dos_ef_per_ev_atom=0.723 spacegroup="I4/mmm, No. 139" pbc="T T T"
Te 0.000 0.000 1.681
Te 0.000 0.000 12.669
Pd 1.963 0.000 3.588
Pd 0.000 1.963 3.588
Au 0.000 0.000 7.175



Entry 18:
19
Lattice="7.987 -3.694 0.000 7.987 3.694 0.000 -2.530 0.000 8.553" Properties=species:S:1:pos:R:3 comment="Pa5Mn2Se12 PBE-GGA relaxed" total_energy_ev_per_atom=-6.755 total_magnetization_mub_per_fu=15.08 dos_ef_per_ev_atom=1.296 spacegroup="C2/m, No. 12" pbc="T T T"
Pa 0.000 0.000 0.000
Pa 4.410 0.000 1.251
Pa 3.421 0.000 5.616
Pa 10.023 0.000 2.937
Pa 9.034 0.000 7.302
Mn 6.722 1.816 4.276
Mn 6.722 -1.816 4.276
Se -0.679 0.000 2.590
Se 4.220 1.833 3.462
Se 3.270 1.843 7.985
Se 10.173 1.843 0.568
Se 9.224 1.833 5.091
Se 7.216 0.000 2.407
Se 6.227 0.000 6.146
Se 4.220 -1.833 3.462
Se 3.270 -1.843 7.985
Se 10.173 -1.843 0.568
Se 9.224 -1.833 5.091
Se 14.123 0.000 5.963



Entry 19:
14
Lattice="4.343 -6.588 0.000 4.343 6.588 0.000 -0.088 0.000 7.856" Properties=species:S:1:pos:R:3 comment="Dy3ErPb3 PBE-GGA relaxed" total_energy_ev_per_atom=-4.439 total_magnetization_mub_per_fu=0.00 dos_ef_per_ev_atom=0.601 spacegroup="C2/m, No. 12" pbc="T T T"
Dy 4.343 4.644 0.000
Dy 4.299 3.656 3.928
Dy 3.121 0.000 6.767
Dy 5.476 0.000 1.090
Dy 4.299 -3.656 3.928
Dy 4.343 -4.644 0.000
Er 2.558 0.000 3.223
Er 6.039 0.000 4.633
Pb 0.401 0.000 5.478
Pb 2.888 2.352 1.431
Pb 5.710 2.352 6.425
Pb 2.888 -2.352 1.431
Pb 5.710 -2.352 6.425
Pb 8.196 0.000 2.378



Entry 20:
10
Lattice="4.741 -2.598 0.000 4.741 2.598 0.000 -2.052 0.000 4.414" Properties=species:S:1:pos:R:3 comment="Li2PuBeO6 PBE-GGA relaxed" total_energy_ev_per_atom=-7.160 total_magnetization_mub_per_fu=0.03 dos_ef_per_ev_atom=0.626 spacegroup="C2/m, No. 12" pbc="T T T"
Li 1.999 0.000 0.673
Li 5.431 0.000 3.741
Pu -1.026 0.000 2.207
Be 4.741 0.000 0.000
O 3.711 1.186 0.685
O 0.828 0.000 2.280
O 3.719 1.186 3.729
O 3.711 -1.186 0.685
O 6.602 0.000 2.134
O 3.719 -1.186 3.729